(1)
## Zn2CuRh (GGA-PBE)

Data for a relaxed structure of Zn2CuRh.

Cell: 4.678 4.678 4.678 Å, 132.73 132.73 69.08°
Fractional coordinates of all 4 atoms:
1 Cu 0.500 0.500 0.000
2 Zn 0.250 0.750 0.500
3 Rh 0.750 0.250 0.500
4 Zn 0.000 0.000 0.000

Calculated values
calculated total energy: -3.73 eV per atom
N(E_F): 0.39 states/eV/atom
ΔH_f (0 K): -0.233 eV per atom
symmetry: I-4m2

---

(2)
## ZnCu3Rh (GGA-PBE)

Data for a relaxed structure of ZnCu3Rh.

Cell: 4.326 4.326 4.326 Å, 90.00 90.00 90.00°
Fractional coordinates of all 5 atoms:
1 Cu 0.500 0.000 0.000
2 Cu 0.000 0.000 0.500
3 Rh 0.500 0.500 0.500
4 Zn 0.000 0.000 0.000
5 Cu 0.000 0.500 0.000

Calculated values
calculated total energy: -3.30 eV per atom
energy relative to the lowest polymorph listed for this composition: 0.000 eV per atom
N(E_F): 0.64 states/eV/atom
ΔH_f (0 K): 0.887 eV per atom
symmetry: Pm-3m

---

(3)
## Zn2CuRh2 (GGA-PBE)

Data for a relaxed structure of Zn2CuRh2.

Cell: 6.774 6.774 3.219 Å, 90.00 90.00 90.00°
Fractional coordinates of all 10 atoms:
1 Rh 0.641 0.141 0.000
2 Rh 0.359 0.859 0.000
3 Zn 0.159 0.659 0.500
4 Rh 0.859 0.641 0.000
5 Rh 0.141 0.359 0.000
6 Zn 0.841 0.341 0.500
7 Zn 0.659 0.841 0.500
8 Cu 0.000 0.000 0.000
9 Zn 0.341 0.159 0.500
10 Cu 0.500 0.500 0.000

Calculated values
calculated total energy: -4.37 eV per atom
energy relative to the lowest polymorph listed for this composition: 0.085 eV per atom
N(E_F): 0.74 states/eV/atom
ΔH_f (0 K): -0.097 eV per atom
symmetry: P4/mbm

---

(4)
## Zn2CuRh (GGA-PBE)

Data for a relaxed structure of Zn2CuRh.

Cell: 2.804 3.734 5.263 Å, 90.00 90.00 90.00°
Fractional coordinates of all 4 atoms:
1 Rh 0.500 0.500 0.759
2 Zn 0.000 0.000 0.983
3 Cu 0.000 0.000 0.493
4 Zn 0.500 0.500 0.265

Calculated values
calculated total energy: -3.67 eV per atom
N(E_F): 0.40 states/eV/atom
ΔH_f (0 K): -0.170 eV per atom
symmetry: Pmm2